(1)
DFT (PBE-GGA) results for crystalline TlCd3F6 at its relaxed geometry.

a b c (Å): 9.663 3.541 10.338
angles (deg): 90.00 113.10 90.00
Space group P2_1/m (No. 11)
Symmetry-distinct sites (fractional):
Tl (0.091, 0.250, 0.214) [2 per cell]
Cd (0.182, 0.250, 0.602) [2 per cell]
Cd (0.321, 0.750, 0.995) [2 per cell]
Cd (0.487, 0.750, 0.656) [2 per cell]
F (0.076, 0.750, 0.439) [2 per cell]
F (0.159, 0.250, 0.973) [2 per cell]
F (0.191, 0.750, 0.754) [2 per cell]
F (0.346, 0.750, 0.232) [2 per cell]
F (0.373, 0.250, 0.490) [2 per cell]
F (0.487, 0.250, 0.099) [2 per cell]

Uncorrected formation energy: -1.9392 eV/atom
E_tot: -71.46 eV per cell
Total magnetic moment: 0.000 μB/atom

=====

(2)
DFT (PBE-GGA) results for crystalline PdPtI6 at its relaxed geometry.

a b c (Å): 9.263 10.808 7.748
angles (deg): 90.00 119.09 90.00
Space group C2/m (No. 12)
Symmetry-distinct sites (fractional):
Pd (0.000, 0.000, 0.000) [2 per cell]
Pt (0.000, 0.000, 0.500) [2 per cell]
I (0.049, 0.166, 0.271) [8 per cell]
I (0.168, 0.500, 0.239) [4 per cell]

Uncorrected formation energy: -0.1409 eV/atom
E_tot: -43.32 eV per cell
E above lowest polymorph: 0.0000 eV/atom
Total magnetic moment: 0.000 μB/atom

=====

(3)
DFT (PBE-GGA) results for crystalline KFe2Te at its relaxed geometry.

a b c (Å): 3.302 3.834 7.570
angles (deg): 90.00 90.76 90.00
Space group Pm (No. 6)
Symmetry-distinct sites (fractional):
K (0.000, 0.000, 0.000) [1 per cell]
Fe (0.482, 0.000, 0.413) [1 per cell]
Fe (0.980, 0.500, 0.390) [1 per cell]
Te (0.489, 0.500, 0.661) [1 per cell]

Uncorrected formation energy: 0.2851 eV/atom
E_tot: -20.02 eV per cell
Total magnetic moment: 1.359 μB/atom

=====

(4)
DFT (PBE-GGA) results for crystalline Sc2AgSe at its relaxed geometry.

a b c (Å): 3.4758 3.4758 27.2953
angles (deg): 90.00 90.00 120.00
Space group R-3m (No. 166, hexagonal axes)
Symmetry-distinct sites (fractional):
Sc (0.0000, 0.0000, 0.1040) [6 per cell]
Ag (0.0000, 0.0000, 0.0000) [3 per cell]
Se (0.0000, 0.0000, 0.5000) [3 per cell]

Uncorrected formation energy: -0.3806 eV/atom
E_tot: -61.56 eV per cell
Total magnetic moment: 0.000 μB/atom

=====

(5)
DFT (PBE-GGA) results for crystalline Ca2GaSiPt6 at its relaxed geometry.

a b c (Å): 9.725 5.637 8.002
angles (deg): 90.00 113.59 90.00
Space group C2/m (No. 12)
Symmetry-distinct sites (fractional):
Ca (0.204, 0.000, 0.115) [4 per cell]
Ga (0.000, 0.500, 0.000) [2 per cell]
Si (0.000, 0.000, 0.500) [2 per cell]
Pt (0.009, 0.258, 0.274) [8 per cell]
Pt (0.248, 0.000, 0.727) [4 per cell]

Uncorrected formation energy: -0.7361 eV/atom
E_tot: -112.12 eV per cell
Total magnetic moment: 0.000 μB/atom

=====

(6)
DFT (PBE-GGA) results for crystalline Nd2Y12Zr at its relaxed geometry.

a b c (Å): 6.590 6.590 23.824
angles (deg): 90.00 90.00 90.00
Space group P4/nbm (No. 125, origin choice 2)
Symmetry-distinct sites (fractional):
Nd (0.250, 0.750, 0.235) [4 per cell]
Y (0.005, 0.505, 0.407) [8 per cell]
Y (0.082, 0.582, 0.936) [8 per cell]
Y (0.250, 0.250, 0.168) [4 per cell]
Y (0.250, 0.250, 0.298) [4 per cell]
Zr (0.250, 0.750, 0.500) [2 per cell]

E_form: 0.414 eV/atom
E_tot: -178.90 eV per cell
Total magnetic moment: 0.109 μB/atom

=====

(7)
DFT (PBE-GGA) results for crystalline SrMn2Fe at its relaxed geometry.

a b c (Å): 6.162 6.162 6.162
angles (deg): 90.00 90.00 90.00
Space group Fm-3m (No. 225)
Symmetry-distinct sites (fractional):
Sr (0.000, 0.000, 0.000) [4 per cell]
Mn (0.250, 0.250, 0.250) [8 per cell]
Fe (0.000, 0.000, 0.500) [4 per cell]

E_form: 1.364 eV/atom
E_tot: -92.12 eV per cell
Total magnetic moment: 0.000 μB/atom

=====

(8)
DFT (PBE-GGA) results for crystalline MgMoW at its relaxed geometry.

a b c (Å): 2.683 2.683 14.059
angles (deg): 90.00 90.00 90.00
Space group I4mm (No. 107)
Symmetry-distinct sites (fractional):
Mg (0.000, 0.000, 0.000) [2 per cell]
Mo (0.000, 0.000, 0.668) [2 per cell]
W (0.000, 0.000, 0.333) [2 per cell]

E_form: 0.458 eV/atom
E_tot: -48.01 eV per cell
E above lowest polymorph: 0.2220 eV/atom
Total magnetic moment: 0.000 μB/atom

=====

(9)
DFT (PBE-GGA) results for crystalline Rb3AgO2 at its relaxed geometry.

a b c (Å): 12.996 13.023 14.802
angles (deg): 90.00 90.00 90.00
Space group P2_12_12_1 (No. 19)
Symmetry-distinct sites (fractional):
Rb (0.001, 0.211, 0.224) [4 per cell]
Rb (0.010, 0.504, 0.577) [4 per cell]
Rb (0.017, 0.702, 0.994) [4 per cell]
Rb (0.024, 0.784, 0.505) [4 per cell]
Rb (0.053, 0.750, 0.755) [4 per cell]
Rb (0.054, 0.928, 0.133) [4 per cell]
Rb (0.199, 0.202, 0.861) [4 per cell]
Rb (0.204, 0.300, 0.644) [4 per cell]
Rb (0.209, 0.014, 0.511) [4 per cell]
Rb (0.217, 0.478, 0.991) [4 per cell]
Rb (0.238, 0.456, 0.251) [4 per cell]
Rb (0.246, 0.958, 0.763) [4 per cell]
Ag (0.001, 0.490, 0.148) [4 per cell]
Ag (0.001, 0.498, 0.824) [4 per cell]
Ag (0.226, 0.232, 0.092) [4 per cell]
Ag (0.232, 0.258, 0.420) [4 per cell]
O (0.111, 0.109, 0.677) [4 per cell]
O (0.112, 0.386, 0.822) [4 per cell]
O (0.114, 0.598, 0.143) [4 per cell]
O (0.115, 0.883, 0.339) [4 per cell]
O (0.116, 0.120, 0.068) [4 per cell]
O (0.123, 0.370, 0.448) [4 per cell]
O (0.155, 0.852, 0.910) [4 per cell]
O (0.162, 0.658, 0.607) [4 per cell]

Uncorrected formation energy: -0.8981 eV/atom
E_tot: -336.95 eV per cell
Total magnetic moment: 0.007 μB/atom

=====

(10)
DFT (PBE-GGA) results for crystalline IrRhO3 at its relaxed geometry.

a b c (Å): 3.871 3.871 3.871
angles (deg): 90.00 90.00 90.00
Space group Pm-3m (No. 221)
Symmetry-distinct sites (fractional):
Ir (0.000, 0.000, 0.000) [1 per cell]
Rh (0.500, 0.500, 0.500) [1 per cell]
O (0.000, 0.000, 0.500) [3 per cell]

Uncorrected formation energy: 0.2951 eV/atom
E_tot: -29.61 eV per cell
Total magnetic moment: 0.000 μB/atom

=====

(11)
DFT (PBE-GGA) results for crystalline BaNaLaPd2 at its relaxed geometry.

a b c (Å): 5.422 5.422 5.935
angles (deg): 90.00 90.00 90.00
Space group P4/mmm (No. 123)
Symmetry-distinct sites (fractional):
Ba (0.000, 0.000, 0.000) [1 per cell]
Na (0.500, 0.500, 0.000) [1 per cell]
La (0.500, 0.500, 0.500) [1 per cell]
Pd (0.000, 0.500, 0.500) [2 per cell]

E_form: 0.073 eV/atom
E_tot: -18.19 eV per cell
Total magnetic moment: 0.000 μB/atom

=====

(12)
DFT (PBE-GGA) results for crystalline LuPuPdAu at its relaxed geometry.

a b c (Å): 7.087 7.087 7.087
angles (deg): 90.00 90.00 90.00
Space group F-43m (No. 216)
Symmetry-distinct sites (fractional):
Lu (0.000, 0.000, 0.000) [4 per cell]
Pu (0.000, 0.000, 0.500) [4 per cell]
Pd (0.250, 0.250, 0.750) [4 per cell]
Au (0.250, 0.250, 0.250) [4 per cell]

E_form: -0.601 eV/atom
E_tot: -118.90 eV per cell
Total magnetic moment: 1.413 μB/atom